# 1
The following is a DFT calculation (GGA-PBE) of crystalline NpNiBi2 at its relaxed geometry.

abc: 10.4954 10.4954 10.4954
angles: 18.68 18.68 18.68
Element x y z (fractional)
Np  0.0000  0.0000  0.0000
Ni  0.5000  0.5000  0.5000
Bi  0.1059  0.1059  0.1059
Bi  0.8941  0.8941  0.8941

## Properties
The calculation puts the formation energy from the elements at 0.404 eV per atom. As for the density: 11.44 g/cm3. Its space-group type is R-3m. The value obtained for the volume is 103.6 Å³/f.u. The crystal system is trigonal.

# 2
The following is a DFT calculation (GGA-PBE) of crystalline LiNbO2 at its relaxed geometry.

abc: 5.4147 5.4147 5.4147
angles: 126.53 126.53 79.03
Element x y z (fractional)
Li  0.0000  0.0000  0.0000
Li  0.7500  0.2500  0.5000
Nb  0.2500  0.7500  0.5000
Nb  0.5000  0.5000  0.0000
O  0.1122  0.6250  0.9872
O  0.3750  0.3622  0.4872
O  0.6378  0.1250  0.0128
O  0.8750  0.8878  0.5128

## Properties
As for the density: 4.42 g/cm3. Its space-group type is I-42d. The value obtained for the volume is 49.6 Å³/f.u. For the formation energy from raw total energies, the calculation gives -1.77 eV per atom. The crystal system is tetragonal.

# 3
The following is a DFT calculation (GGA-PBE) of crystalline Be2Rh at its relaxed geometry.

abc: 6.3285 6.3285 2.7566
angles: 90.00 90.00 120.00
Element x y z (fractional)
Be  0.0000  0.2902  0.0000
Be  0.0000  0.6184  0.5000
Be  0.2902  0.0000  0.0000
Be  0.3816  0.3816  0.5000
Be  0.6184  0.0000  0.5000
Be  0.7098  0.7098  0.0000
Rh  0.0000  0.0000  0.5000
Rh  0.3333  0.6667  0.0000
Rh  0.6667  0.3333  0.0000

## Properties
The calculation puts the formation energy from the elements at -0.320 eV per atom. As for the density: 6.30 g/cm3. Its space-group type is P-62m. The value obtained for the volume is 31.9 Å³/f.u. The crystal system is hexagonal.

# 4
The following is a DFT calculation (GGA-PBE) of crystalline MgCd2Hg2 at its relaxed geometry.

abc: 7.6726 7.6726 7.6726
angles: 147.72 147.72 46.29
Element x y z (fractional)
Mg  0.0000  0.0000  0.0000
Cd  0.4026  0.4026  0.0000
Cd  0.5974  0.5974  0.0000
Hg  0.2500  0.7500  0.5000
Hg  0.7500  0.2500  0.5000

## Properties
The calculation puts the formation energy from the elements at 0.087 eV per atom. As for the density: 8.41 g/cm3. Its space-group type is I4/mmm. The value obtained for the volume is 128.4 Å³/f.u. The crystal system is tetragonal.

# 5
The following is a DFT calculation (GGA-PBE) of crystalline NiIr2Ru at its relaxed geometry.

abc: 4.2938 4.2938 4.2938
angles: 60.00 60.00 60.00
Element x y z (fractional)
Ni  0.0000  0.0000  0.0000
Ir  0.2500  0.2500  0.2500
Ir  0.7500  0.7500  0.7500
Ru  0.5000  0.5000  0.5000

## Properties
The calculation puts the formation energy from the elements at 0.384 eV per atom. As for the density: 16.14 g/cm3. Its space-group type is Fm-3m. The value obtained for the volume is 56.0 Å³/f.u. The crystal system is cubic.

# 6
The following is a DFT calculation (GGA-PBE) of crystalline NdSm2Ho8 at its relaxed geometry.

abc: 10.1222 10.1222 5.5408
angles: 92.67 92.67 40.33
Element x y z (fractional)
Nd  0.0000  0.0000  0.0000
Sm  0.2843  0.2843  0.7493
Sm  0.7157  0.7157  0.2507
Ho  0.1350  0.6020  0.2676
Ho  0.1870  0.1870  0.2334
Ho  0.3980  0.8650  0.7323
Ho  0.4537  0.4537  0.7621
Ho  0.5463  0.5463  0.2379
Ho  0.6020  0.1350  0.2676
Ho  0.8130  0.8130  0.7666
Ho  0.8650  0.3980  0.7323

## Properties
The calculation puts the formation energy from the elements at 0.155 eV per atom. As for the density: 7.98 g/cm3. Its space-group type is C2/m. The value obtained for the volume is 367.0 Å³/f.u. The crystal system is monoclinic.

# 7
The following is a DFT calculation (GGA-PBE) of crystalline LaAgOs at its relaxed geometry.

abc: 4.7610 4.7610 4.7610
angles: 60.00 60.00 60.00
Element x y z (fractional)
La  0.0000  0.0000  0.0000
Ag  0.2500  0.2500  0.2500
Os  0.7500  0.7500  0.7500

## Properties
The calculation puts the formation energy from the elements at 1.033 eV per atom. As for the density: 9.51 g/cm3. Its space-group type is F-43m. The value obtained for the volume is 76.3 Å³/f.u. The crystal system is cubic.

# 8
The following is a DFT calculation (GGA-PBE) of crystalline PdRuS2Br at its relaxed geometry.

abc: 4.3784 4.3784 5.6501
angles: 90.00 90.00 90.00
Element x y z (fractional)
Pd  0.0000  0.0000  0.0000
Ru  0.0000  0.0000  0.5000
S  0.0000  0.5000  0.5000
S  0.5000  0.0000  0.5000
Br  0.5000  0.5000  0.0000

## Properties
As for the density: 5.39 g/cm3. Its space-group type is P4/mmm. The value obtained for the volume is 108.3 Å³/f.u. For the formation energy from raw total energies, the calculation gives 0.41 eV per atom. The crystal system is tetragonal.

Please write out number 5 again, unchanged.
The following is a DFT calculation (GGA-PBE) of crystalline NiIr2Ru at its relaxed geometry.

abc: 4.2938 4.2938 4.2938
angles: 60.00 60.00 60.00
Element x y z (fractional)
Ni  0.0000  0.0000  0.0000
Ir  0.2500  0.2500  0.2500
Ir  0.7500  0.7500  0.7500
Ru  0.5000  0.5000  0.5000

## Properties
The calculation puts the formation energy from the elements at 0.384 eV per atom. As for the density: 16.14 g/cm3. Its space-group type is Fm-3m. The value obtained for the volume is 56.0 Å³/f.u. The crystal system is cubic.

Q: Among the records above, which one has the lowest volume?
A: Be2Rh